Here is crystalline HoZnGa2Ni5 at its relaxed geometry from Alexandria via LeMat-Bulk. Energies are from PBE.

Unit cell a=3.7949 b=3.7949 c=9.1543 alpha=90.00 beta=90.00 gamma=90.00
With the nearest neighbours (Å) after each atom.
Atoms (fractional coordinates):
Ho 0.0000 0.0000 0.5000  12 Ni 2.68-2.74
Zn 0.0000 0.0000 0.0000  8 Ga 2.95, 8 Ni 3.22
Ga 0.5000 0.5000 0.1326  4 Ni 2.35, 1 Ga 2.43
Ga 0.5000 0.5000 0.8674  4 Ni 2.35, 1 Ga 2.43
Ni 0.0000 0.5000 0.2842  2 Ga 2.35
Ni 0.5000 0.0000 0.2842  2 Ga 2.35
Ni 0.0000 0.5000 0.7158  2 Ga 2.35
Ni 0.5000 0.0000 0.7158  2 Ga 2.35
Ni 0.5000 0.5000 0.5000  4 Ho 2.68, 8 Ni 2.74

Here is crystalline HoZnGaNi3 at its relaxed geometry from Alexandria via LeMat-Bulk. Energies are from PBE.

Unit cell a=5.6235 b=5.5872 c=6.5497 alpha=115.25 beta=90.00 gamma=90.00
With the nearest neighbours (Å) after each atom.
Atoms (fractional coordinates):
Ho 0.7500 0.3118 0.6236  1 Zn 2.75, 6 Ni 2.84-2.89, 2 Ga 2.86
Ho 0.2500 0.6882 0.3764  1 Zn 2.75, 6 Ni 2.84-2.89, 2 Ga 2.86
Zn 0.2500 0.9201 0.8403  4 Ni 2.33
Zn 0.7500 0.0799 0.1597  4 Ni 2.33
Ga 0.2500 0.3557 0.7114  5 Ni 2.50-2.51
Ga 0.7500 0.6443 0.2886  5 Ni 2.50-2.51
Ni 0.2500 0.1450 0.2900  1 Ga 2.50, 1 Zn 2.66, 4 Ni 2.74
Ni 0.0000 0.2872 0.0000  2 Zn 2.33, 1 Ni 2.38, 2 Ga 2.51
Ni 0.5000 0.7128 0.0000  2 Zn 2.33, 1 Ni 2.38, 2 Ga 2.51
Ni 0.5000 0.2872 0.0000  2 Zn 2.33, 1 Ni 2.38, 2 Ga 2.51
Ni 0.0000 0.7128 0.0000  2 Zn 2.33, 1 Ni 2.38, 2 Ga 2.51
Ni 0.7500 0.8550 0.7100  1 Ga 2.50, 1 Zn 2.66, 4 Ni 2.74

Here is crystalline HoZnGa4Ni2 at its relaxed geometry from Alexandria via LeMat-Bulk. Energies are from PBE.

Unit cell a=4.1406 b=4.1406 c=9.0141 alpha=76.72 beta=76.72 gamma=60.00
With the nearest neighbours (Å) after each atom.
Atoms (fractional coordinates):
Ho 0.0000 0.0000 0.0000  8 Ga 2.93-3.19
Zn 0.5000 0.5000 0.5000  8 Ga 2.65-2.66, 6 Ni 2.95
Ga 0.3984 0.3984 0.8047  3 Ni 2.56, 1 Zn 2.65, 3 Ga 2.82
Ga 0.8777 0.8777 0.3669  3 Ni 2.46, 3 Zn 2.66
Ga 0.1223 0.1223 0.6331  3 Ni 2.46, 3 Zn 2.66
Ga 0.6016 0.6016 0.1953  3 Ni 2.56, 1 Zn 2.65, 3 Ga 2.82
Ni 0.7670 0.7670 0.6990  6 Ga 2.46-2.56
Ni 0.2330 0.2330 0.3010  6 Ga 2.46-2.56

Here is crystalline Ho2ZnGa2Ni5 at its relaxed geometry from Alexandria via LeMat-Bulk. Energies are from PBE.

Unit cell a=3.3625 b=9.5615 c=9.5615 alpha=90.00 beta=90.00 gamma=90.00
With the nearest neighbours (Å) after each atom.
Atoms (fractional coordinates):
Ho 0.0000 0.6755 0.1755  3 Ga 2.72-2.90, 6 Ni 2.91-3.01
Ho 0.0000 0.3245 0.8245  3 Ga 2.72-2.90, 6 Ni 2.91-3.01
Ho 0.0000 0.1755 0.3245  3 Ga 2.72-2.90, 6 Ni 2.91-3.01
Ho 0.0000 0.8245 0.6755  3 Ga 2.72-2.90, 6 Ni 2.91-3.01
Zn 0.0000 0.0000 0.0000  8 Ni 2.61
Zn 0.0000 0.5000 0.5000  8 Ni 2.61
Ga 0.0000 0.1231 0.6231  6 Ni 2.37-2.47
Ga 0.0000 0.8769 0.3769  6 Ni 2.37-2.47
Ga 0.0000 0.6231 0.8769  6 Ni 2.37-2.47
Ga 0.0000 0.3769 0.1231  6 Ni 2.37-2.47
Ni 0.5000 0.2009 0.0545  2 Ga 2.47, 2 Zn 2.61
Ni 0.5000 0.7991 0.9455  2 Ga 2.47, 2 Zn 2.61
Ni 0.5000 0.0545 0.7991  2 Ga 2.47, 2 Zn 2.61
Ni 0.5000 0.7009 0.4455  2 Ga 2.47, 2 Zn 2.61
Ni 0.5000 0.9455 0.2009  2 Ga 2.47, 2 Zn 2.61
Ni 0.5000 0.2991 0.5545  2 Ga 2.47, 2 Zn 2.61
Ni 0.5000 0.5545 0.7009  2 Ga 2.47, 2 Zn 2.61
Ni 0.5000 0.4455 0.2991  2 Ga 2.47, 2 Zn 2.61
Ni 0.5000 0.5000 0.0000  4 Ga 2.37
Ni 0.5000 0.0000 0.5000  4 Ga 2.37

Here is crystalline HoZnGa2Ni4 at its relaxed geometry from Alexandria via LeMat-Bulk. Energies are from PBE.

Unit cell a=4.0696 b=4.0696 c=8.4028 alpha=75.99 beta=75.99 gamma=60.00
With the nearest neighbours (Å) after each atom.
Atoms (fractional coordinates):
Ho 0.0000 0.0000 0.0000  8 Ni 2.89-3.14, 6 Ga 3.23
Zn 0.5000 0.5000 0.5000  8 Ni 2.36-2.51
Ga 0.7583 0.7583 0.7252  6 Ni 2.41-2.53
Ga 0.2417 0.2417 0.2748  6 Ni 2.41-2.53
Ni 0.4027 0.4027 0.7920  1 Zn 2.36, 3 Ga 2.41
Ni 0.8701 0.8701 0.3897  3 Zn 2.51, 4 Ga 2.53-2.71, 3 Ni 2.77
Ni 0.1299 0.1299 0.6103  3 Zn 2.51, 4 Ga 2.53-2.71, 3 Ni 2.77
Ni 0.5973 0.5973 0.2080  1 Zn 2.36, 3 Ga 2.41

Here is crystalline Ho2ZnGaNi at its relaxed geometry from Alexandria via LeMat-Bulk. Energies are from PBE.

Unit cell a=4.2726 b=7.0931 c=7.1065 alpha=109.79 beta=90.00 gamma=90.00
With the nearest neighbours (Å) after each atom.
Atoms (fractional coordinates):
Ho 0.7500 0.8759 0.6556  3 Ni 2.83-2.86, 2 Zn 3.06, 2 Ga 3.14
Ho 0.7500 0.7088 0.0535  3 Ni 2.73-2.83
Ho 0.2500 0.1241 0.3444  3 Ni 2.83-2.86, 2 Zn 3.06, 2 Ga 3.14
Ho 0.2500 0.2912 0.9465  3 Ni 2.73-2.83
Zn 0.2500 0.6654 0.3471  3 Ga 2.64-2.73
Zn 0.7500 0.3346 0.6529  3 Ga 2.64-2.73
Ga 0.2500 0.5617 0.6835  1 Ni 2.46, 3 Zn 2.64-2.73
Ga 0.7500 0.4383 0.3165  1 Ni 2.46, 3 Zn 2.64-2.73
Ni 0.2500 0.9013 0.9311  1 Ga 2.46, 2 Ni 2.56, 1 Ho 2.73
Ni 0.7500 0.0987 0.0689  1 Ga 2.46, 2 Ni 2.56, 1 Ho 2.73

Here is crystalline Ho3Zn2GaNi9 at its relaxed geometry from Alexandria via LeMat-Bulk. Energies are from PBE.

Unit cell a=5.1125 b=5.1125 c=11.3816 alpha=90.00 beta=90.00 gamma=120.00
With the nearest neighbours (Å) after each atom.
Atoms (fractional coordinates):
Ho 0.3333 0.6667 0.7662  9 Ni 2.82-3.04, 3 Zn 3.05
Ho 0.0000 0.0000 0.0000  6 Ni 2.56
Ho 0.6667 0.3333 0.2338  9 Ni 2.82-3.04, 3 Zn 3.05
Zn 0.3333 0.6667 0.1678  6 Ni 2.41-2.42
Zn 0.6667 0.3333 0.8322  6 Ni 2.41-2.42
Ga 0.0000 0.0000 0.5000  6 Ni 2.38
Ni 0.8296 0.1704 0.6612  1 Ga 2.38, 1 Zn 2.42, 4 Ni 2.50-2.61
Ni 0.8296 0.6593 0.6612  1 Ga 2.38, 1 Zn 2.42, 4 Ni 2.50-2.61
Ni 0.3407 0.1704 0.6612  1 Ga 2.38, 1 Zn 2.42, 4 Ni 2.50-2.61
Ni 0.6593 0.8296 0.3388  1 Ga 2.38, 1 Zn 2.42, 4 Ni 2.50-2.61
Ni 0.1704 0.3407 0.3388  1 Ga 2.38, 1 Zn 2.42, 4 Ni 2.50-2.61
Ni 0.1704 0.8296 0.3388  1 Ga 2.38, 1 Zn 2.42, 4 Ni 2.50-2.61
Ni 0.5000 0.0000 0.0000  2 Zn 2.41, 2 Ho 2.56, 4 Ni 2.56
Ni 0.0000 0.5000 0.0000  2 Zn 2.41, 4 Ni 2.56, 2 Ho 2.56
Ni 0.5000 0.5000 0.0000  2 Zn 2.41, 4 Ni 2.56, 2 Ho 2.56

Here is crystalline HoZrGaNi at its relaxed geometry from Alexandria via LeMat-Bulk. Energies are from PBE.

Unit cell a=4.7860 b=4.7860 c=4.7860 alpha=60.00 beta=60.00 gamma=60.00
With the nearest neighbours (Å) after each atom.
Atoms (fractional coordinates):
Ni 0.2500 0.2500 0.2500  4 Zr 2.93, 4 Ho 2.93
Ga 0.7500 0.7500 0.7500  4 Zr 2.93, 4 Ho 2.93
Ho 0.0000 0.0000 0.0000  4 Ga 2.93, 4 Ni 2.93
Zr 0.5000 0.5000 0.5000  4 Ni 2.93, 4 Ga 2.93

Here is crystalline HoNpGa2 at its relaxed geometry from Alexandria via LeMat-Bulk. Energies are from PBE.

Results
- polymorph energy (0 for the lowest one) (eV per atom) = 0.000

Unit cell a=3.4412 b=5.1006 c=5.1006 alpha=90.00 beta=90.00 gamma=90.00
With the nearest neighbours (Å) after each atom.
Atoms (fractional coordinates):
Np 0.5000 0.0000 0.0000  8 Ga 3.08, 2 Np 3.44
Ho 0.5000 0.5000 0.5000  8 Ga 3.08, 2 Ho 3.44
Ga 0.0000 0.0000 0.5000  4 Ho 3.08, 4 Np 3.08, 2 Ga 3.44
Ga 0.0000 0.5000 0.0000  4 Ho 3.08, 4 Np 3.08, 2 Ga 3.44

Here is crystalline Ho4NpGa15 at its relaxed geometry from Alexandria via LeMat-Bulk. Energies are from PBE.

Unit cell a=4.2381 b=4.2381 c=21.2930 alpha=90.00 beta=90.00 gamma=90.00
With the nearest neighbours (Å) after each atom.
Atoms (fractional coordinates):
Ho 0.0000 0.0000 0.1980  12 Ga 3.00-3.02
Ho 0.0000 0.0000 0.3991  12 Ga 3.00-3.02
Ho 0.0000 0.0000 0.6009  12 Ga 3.00-3.02
Ho 0.0000 0.0000 0.8020  12 Ga 3.00-3.02
Np 0.0000 0.0000 0.0000  12 Ga 2.95-3.00
Ga 0.5000 0.5000 0.0000  8 Ga 2.95, 4 Np 3.00
Ga 0.5000 0.5000 0.1995  8 Ga 2.99-3.05, 4 Ho 3.00
Ga 0.5000 0.5000 0.4001  4 Ho 3.00, 8 Ga 3.00-3.03
Ga 0.5000 0.5000 0.5999  4 Ho 3.00, 8 Ga 3.00-3.03
Ga 0.5000 0.5000 0.8005  8 Ga 2.99-3.05, 4 Ho 3.00
Ga 0.5000 0.0000 0.0967  2 Np 2.95, 8 Ga 2.95-3.05, 2 Ho 3.02
Ga 0.5000 0.0000 0.2985  8 Ga 2.99-3.03, 4 Ho 3.01
Ga 0.5000 0.0000 0.5000  8 Ga 3.00, 4 Ho 3.02
Ga 0.5000 0.0000 0.7015  8 Ga 2.99-3.03, 4 Ho 3.01
Ga 0.5000 0.0000 0.9033  2 Np 2.95, 8 Ga 2.95-3.05, 2 Ho 3.02
Ga 0.0000 0.5000 0.0967  2 Np 2.95, 8 Ga 2.95-3.05, 2 Ho 3.02
Ga 0.0000 0.5000 0.2985  8 Ga 2.99-3.03, 4 Ho 3.01
Ga 0.0000 0.5000 0.5000  8 Ga 3.00, 4 Ho 3.02
Ga 0.0000 0.5000 0.7015  8 Ga 2.99-3.03, 4 Ho 3.01
Ga 0.0000 0.5000 0.9033  2 Np 2.95, 8 Ga 2.95-3.05, 2 Ho 3.02

Here is crystalline HoNpGa6 at its relaxed geometry from Alexandria via LeMat-Bulk. Energies are from PBE.

Unit cell a=4.2562 b=4.2562 c=8.5335 alpha=90.00 beta=90.00 gamma=90.00
With the nearest neighbours (Å) after each atom.
Atoms (fractional coordinates):
Ho 0.0000 0.0000 0.5000  12 Ga 3.01-3.02
Np 0.0000 0.0000 0.0000  12 Ga 3.00-3.01
Ga 0.5000 0.5000 0.0000  8 Ga 3.00, 4 Np 3.01
Ga 0.5000 0.5000 0.5000  4 Ho 3.01, 8 Ga 3.02
Ga 0.5000 0.0000 0.2484  2 Np 3.00, 8 Ga 3.00-3.02, 2 Ho 3.02
Ga 0.5000 0.0000 0.7516  2 Np 3.00, 8 Ga 3.00-3.02, 2 Ho 3.02
Ga 0.0000 0.5000 0.2484  8 Ga 3.00-3.02, 2 Np 3.00, 2 Ho 3.02
Ga 0.0000 0.5000 0.7516  8 Ga 3.00-3.02, 2 Np 3.00, 2 Ho 3.02

Here is crystalline HoNpGa4 at its relaxed geometry from Alexandria via LeMat-Bulk. Energies are from PBE.

Unit cell a=5.5115 b=5.5115 c=5.5115 alpha=60.00 beta=60.00 gamma=60.00
With the nearest neighbours (Å) after each atom.
Atoms (fractional coordinates):
Np 0.0000 0.0000 0.0000  12 Ga 3.23, 4 Ho 3.38
Ho 0.2500 0.2500 0.2500  12 Ga 3.23, 4 Np 3.38
Ga 0.6252 0.6252 0.1243  6 Ga 2.75-2.76
Ga 0.6252 0.1243 0.6252  6 Ga 2.75-2.76
Ga 0.6252 0.6252 0.6252  6 Ga 2.75-2.76
Ga 0.1243 0.6252 0.6252  6 Ga 2.75-2.76

We obtain energy values of -4.67, -4.59, -4.02, -4.87, -4.78, -4.34, -4.89, -5.84, -6.12, -4.26, -4.83, -5.21 eV/atom for the records listed above, in that order.